SrNbVO6 (PBE with a Hubbard U, relaxed); total energy = -7.9201 eV/atom
1.0
5.2341 0.0000 0.0000
-2.6170 4.5328 0.0000
0.0000 0.0000 5.3986
Sr Nb V O
1 1 1 6
direct
0.0000 0.0000 0.0000 Sr
0.6667 0.3333 0.5475 Nb
0.3333 0.6667 0.4516 V
0.0117 0.6187 0.2939 O
0.0163 0.3840 0.7018 O
0.3677 0.9837 0.7018 O
0.3813 0.3930 0.2939 O
0.6070 0.9883 0.2939 O
0.6160 0.6323 0.7018 O